(1)
DFT (PBE) results for a relaxed structure of Cr2PdPt2.

Properties
crystal system = monoclinic
energy of formation = -0.11 eV per atom
excess energy over the best structure of this formula in the dataset = 0 meV/atom
uncorrected energy = -74.123 eV per cell

Unit cell a=8.6096 b=3.8596 c=6.0276 alpha=90.00 beta=132.91 gamma=90.00
With the nearest neighbours (Å) after each atom.
Space group C2/m (No. 12)
Unique sites:
Cr: 0.0864 0.0000 0.2875 (multiplicity 4)  6 Pt 2.67-2.75, 3 Cr 2.68-2.90, 3 Pd 2.69-2.85
Pd: 0.0000 0.5000 0.5000 (multiplicity 2)  6 Cr 2.69-2.85, 6 Pt 2.76-2.84
Pt: 0.2010 0.5000 0.1166 (multiplicity 4)  6 Cr 2.67-2.75, 3 Pt 2.71-2.83, 3 Pd 2.76-2.84

(2)
DFT (PBE) results for a relaxed structure of Cr2Pd8Pt.

Properties
crystal system = orthorhombic
energy of formation = 0.01 eV per atom
excess energy over the best structure of this formula in the dataset = 12 meV/atom
uncorrected energy = -133.347 eV per cell

Unit cell a=4.1235 b=6.9586 c=11.9147 alpha=90.00 beta=90.00 gamma=90.00
With the nearest neighbours (Å) after each atom.
Space group Immm (No. 71)
Unique sites:
Cr: 0.0000 0.0000 0.1938 (multiplicity 4)  10 Pd 2.60-2.74
Pd: 0.0000 0.1965 0.0000 (multiplicity 4)  2 Cr 2.68, 7 Pd 2.74-2.80, 2 Pt 2.95
Pd: 0.0000 0.2816 0.3438 (multiplicity 8)  3 Cr 2.60-2.65, 1 Pt 2.70, 5 Pd 2.72-2.84
Pd: 0.0000 0.5000 0.1547 (multiplicity 4)  8 Pd 2.72-2.84, 2 Cr 2.74, 2 Pt 2.77
Pt: 0.0000 0.0000 0.5000 (multiplicity 2)  12 Pd 2.70-2.95

(3)
DFT (PBE) results for a relaxed structure of CrPdPt2.

Properties
crystal system = cubic
energy of formation = 0.11 eV per atom
uncorrected energy = -105.775 eV per cell

Unit cell a=6.1919 b=6.1919 c=6.1919 alpha=90.00 beta=90.00 gamma=90.00
With the nearest neighbours (Å) after each atom.
Space group Fm-3m (No. 225)
Unique sites:
Cr: 0.0000 0.0000 0.0000 (multiplicity 4)  8 Pt 2.68
Pd: 0.0000 0.0000 0.5000 (multiplicity 4)  8 Pt 2.68
Pt: 0.2500 0.2500 0.2500 (multiplicity 8)  4 Cr 2.68, 4 Pd 2.68

(4)
DFT (PBE) results for a relaxed structure of Cr2Pd4Pt5.

Properties
crystal system = orthorhombic
energy of formation = 0.06 eV per atom
uncorrected energy = -139.056 eV per cell

Unit cell a=4.4328 b=7.6396 c=10.4437 alpha=90.00 beta=90.00 gamma=90.00
With the nearest neighbours (Å) after each atom.
Space group Immm (No. 71)
Unique sites:
Cr: 0.0000 0.0000 0.1365 (multiplicity 4)  3 Pd 2.49-2.67, 6 Pt 2.64-2.75
Pd: 0.0000 0.0000 0.3750 (multiplicity 4)  1 Cr 2.49, 1 Pd 2.61, 2 Pt 2.79
Pd: 0.0000 0.2960 0.0000 (multiplicity 4)  2 Cr 2.67, 2 Pt 2.80
Pt: 0.0000 0.3330 0.2665 (multiplicity 8)  4 Pt 2.55-2.75, 2 Cr 2.75, 2 Pd 2.79-2.80
Pt: 0.0000 0.5000 0.5000 (multiplicity 2)  4 Cr 2.64, 4 Pt 2.75

(5)
DFT (PBE) results for a relaxed structure of CrPd8Pt5.

Properties
crystal system = tetragonal
energy of formation = 0.15 eV per atom
uncorrected energy = -158.497 eV per cell

Unit cell a=7.6615 b=7.6615 c=7.7135 alpha=90.00 beta=90.00 gamma=90.00
With the nearest neighbours (Å) after each atom.
Space group I-4 (No. 82)
Unique sites:
Cr: 0.0000 0.0000 0.0000 (multiplicity 2)  8 Pd 2.44-2.66
Pd: 0.0608 0.3316 0.0838 (multiplicity 8)  1 Cr 2.66, 4 Pd 2.74-2.91, 5 Pt 2.78-2.92
Pd: 0.1047 0.1799 0.7613 (multiplicity 8)  1 Cr 2.44, 4 Pt 2.58-2.71
Pt: 0.0000 0.5000 0.7500 (multiplicity 2)  4 Pd 2.58
Pt: 0.1107 0.1982 0.4154 (multiplicity 8)  8 Pd 2.65-2.84, 2 Pt 2.78

(6)
DFT (PBE) results for a relaxed structure of Cr2Pd6Pt3.

Properties
crystal system = monoclinic
energy of formation = 0.09 eV per atom
uncorrected energy = -270.001 eV per cell

Unit cell a=7.6582 b=4.8282 c=18.2187 alpha=90.00 beta=95.48 gamma=90.00
With the nearest neighbours (Å) after each atom.
Space group C2/c (No. 15)
Unique sites:
Cr: 0.2502 0.0462 0.9999 (multiplicity 8)  1 Cr 1.97
Pd: 0.0405 0.2493 0.5638 (multiplicity 8)  4 Cr 2.52-2.60, 1 Pt 2.70, 4 Pd 2.77
Pd: 0.1013 0.2505 0.3965 (multiplicity 8)  2 Cr 2.55, 6 Pd 2.70-2.80, 1 Pt 2.71
Pd: 0.2478 0.2508 0.1423 (multiplicity 8)  4 Pd 2.70-2.80, 4 Pt 2.75-2.87, 2 Cr 2.77-2.78
Pt: 0.0000 0.2516 0.2500 (multiplicity 4)  4 Pd 2.71-2.86, 6 Pt 2.77-2.78
Pt: 0.1400 0.2486 0.7100 (multiplicity 8)  5 Pd 2.70-2.90, 4 Pt 2.71-2.78

(7)
DFT (PBE) results for a relaxed structure of CrPd7Pt3.

Properties
crystal system = trigonal
energy of formation = 0.02 eV per atom
uncorrected energy = -63.902 eV per cell

Unit cell a=5.5201 b=5.5201 c=6.7015 alpha=90.00 beta=90.00 gamma=120.00
With the nearest neighbours (Å) after each atom.
Space group P3m1 (No. 156)
Unique sites:
Cr: 0.0000 0.0000 0.0000 (multiplicity 1)  3 Pt 2.67, 9 Pd 2.76-2.79
Pd: 0.3334 0.1667 0.3417 (multiplicity 3)  8 Pd 2.75-2.76, 2 Pt 2.77, 1 Cr 2.79
Pd: 0.3333 0.6667 0.3459 (multiplicity 1)  3 Pt 2.75, 9 Pd 2.76-2.79
Pd: 0.5021 0.0043 0.0055 (multiplicity 3)  2 Pt 2.71, 7 Pd 2.72-2.80, 2 Cr 2.76
Pt: 0.1652 0.3305 0.6796 (multiplicity 3)  1 Cr 2.67, 5 Pd 2.71-2.77, 4 Pt 2.74-2.78

(8)
DFT (PBE) results for a relaxed structure of CrPdPt2.

Properties
crystal system = trigonal
energy of formation = -0.10 eV per atom
uncorrected energy = -81.880 eV per cell

Unit cell a=2.7551 b=2.7551 c=26.7899 alpha=90.00 beta=90.00 gamma=120.00
With the nearest neighbours (Å) after each atom.
Space group R3m (No. 160, hexagonal axes)
Unique sites:
Cr: 0.0000 0.0000 0.0000 (multiplicity 3)  6 Pt 2.61, 6 Cr 2.76
Pd: 0.0000 0.0000 0.8333 (multiplicity 3)  6 Pd 2.76, 6 Pt 2.87-2.88
Pt: 0.0000 0.0000 0.4107 (multiplicity 3)  3 Cr 2.61, 6 Pt 2.76, 3 Pd 2.87
Pt: 0.0000 0.0000 0.5895 (multiplicity 3)  3 Cr 2.61, 6 Pt 2.76, 3 Pd 2.88

(9)
DFT (PBE) results for a relaxed structure of CrPdPt3.

Properties
crystal system = triclinic
energy of formation = -0.14 eV per atom
excess energy over the best structure of this formula in the dataset = 0 meV/atom
uncorrected energy = -67.276 eV per cell

Unit cell a=3.8969 b=4.8217 c=8.7311 alpha=89.91 beta=90.00 gamma=66.22
With the nearest neighbours (Å) after each atom.
Space group P-1 (No. 2)
Unique sites:
Cr: 0.1462 0.2065 0.0531 (multiplicity 2)  8 Pt 2.65-2.77, 1 Pd 2.69, 3 Cr 2.75-2.83
Pd: 0.0465 0.4059 0.3441 (multiplicity 2)  1 Cr 2.69, 10 Pt 2.77-2.85, 1 Pd 2.85
Pt: 0.2579 0.9854 0.7655 (multiplicity 2)  3 Cr 2.65-2.70, 6 Pt 2.75-2.88, 3 Pd 2.77-2.85
Pt: 0.3481 0.8041 0.4483 (multiplicity 2)  7 Pt 2.76-2.88, 5 Pd 2.78-2.82
Pt: 0.4406 0.6174 0.1389 (multiplicity 2)  5 Pt 2.64-2.83, 5 Cr 2.68-2.77, 2 Pd 2.80-2.81

(10)
DFT (PBE) results for a relaxed structure of CrPd5Pt5.

Properties
crystal system = triclinic
energy of formation = 0.05 eV per atom
uncorrected energy = -65.251 eV per cell

Unit cell a=5.0999 b=5.1151 c=6.8582 alpha=95.57 beta=99.67 gamma=95.98
With the nearest neighbours (Å) after each atom.
Space group P1 (No. 1)
Unique sites:
Cr: 0.0000 0.0000 0.0000 (multiplicity 1)  6 Pd 2.55-2.78, 2 Pt 2.66
Pd: 0.1724 0.0043 0.6623 (multiplicity 1)  3 Pd 2.59-2.76, 1 Cr 2.61, 4 Pt 2.71-2.82
Pd: 0.2287 0.4781 0.9051 (multiplicity 1)  5 Pd 2.76-3.01, 2 Cr 2.78-3.08, 4 Pt 2.80-2.96
Pd: 0.4998 0.9992 0.9997 (multiplicity 1)  2 Cr 2.55, 4 Pd 2.62-2.83, 4 Pt 2.67-2.81
Pd: 0.7701 0.5207 0.0928 (multiplicity 1)  5 Pd 2.76-3.00, 2 Cr 2.78-3.07, 4 Pt 2.80-2.97
Pd: 0.8266 0.9925 0.3371 (multiplicity 1)  3 Pd 2.59-2.76, 1 Cr 2.61, 4 Pt 2.71-2.82
Pt: 0.2862 0.7698 0.2804 (multiplicity 1)  4 Pt 2.63-2.86, 1 Cr 2.66, 5 Pd 2.67-2.84
Pt: 0.4025 0.2924 0.3426 (multiplicity 1)  5 Pt 2.63-2.86, 2 Pd 2.78-2.81
Pt: 0.5969 0.7053 0.6567 (multiplicity 1)  5 Pt 2.63-2.86, 2 Pd 2.78-2.81
Pt: 0.7129 0.2276 0.7185 (multiplicity 1)  4 Pt 2.63-2.86, 1 Cr 2.66, 6 Pd 2.67-2.94
Pt: 0.9991 0.4985 0.4990 (multiplicity 1)  4 Pt 2.65-2.73, 4 Pd 2.71-2.85

(11)
DFT (PBE) results for a relaxed structure of Cr2Pd5Pt5.

Properties
crystal system = monoclinic
energy of formation = -0.15 eV per atom
uncorrected energy = -154.366 eV per cell

Unit cell a=11.7645 b=3.9076 c=8.7949 alpha=90.00 beta=116.33 gamma=90.00
With the nearest neighbours (Å) after each atom.
Space group C2/m (No. 12)
Unique sites:
Cr: 0.0839 0.0000 0.2541 (multiplicity 4)  7 Pt 2.71-2.80, 5 Pd 2.74-2.79
Pd: 0.0000 0.0000 0.5000 (multiplicity 2)  2 Cr 2.75, 8 Pt 2.78, 2 Pd 2.83
Pd: 0.1644 0.0000 0.9999 (multiplicity 4)  5 Pt 2.75-2.85, 5 Pd 2.76-2.82, 2 Cr 2.78-2.79
Pd: 0.2453 0.5000 0.2480 (multiplicity 4)  6 Pt 2.74-2.85, 2 Cr 2.74, 4 Pd 2.76-2.83
Pt: 0.0000 0.5000 0.0000 (multiplicity 2)  2 Pt 2.72, 6 Pd 2.74-2.75, 4 Cr 2.80
Pt: 0.0778 0.5000 0.7509 (multiplicity 4)  2 Cr 2.71, 3 Pt 2.72-2.83, 7 Pd 2.77-2.85
Pt: 0.1682 0.5000 0.5017 (multiplicity 4)  3 Cr 2.75-2.76, 4 Pt 2.75-2.83, 5 Pd 2.76-2.78